! Mg2In2Au PBE relaxed; values from VASP
! space group = I4/mmm, No. 139
! VASP energy = -13.277 eV/cell
! energy above the most stable polymorph in this dataset = 0.000 eV/atom
&SYSTEM
  ibrav = 0, nat = 5, ntyp = 3
/
ATOMIC_SPECIES
Mg 24.30 Mg.upf
In 114.82 In.upf
Au 196.97 Au.upf
CELL_PARAMETERS angstrom
3.216 0.000 -0.516
-0.083 3.215 -0.516
0.072 0.074 10.728
ATOMIC_POSITIONS crystal
Mg 0.421 0.421 0.843
In 0.189 0.189 0.377
Au 0.000 0.000 0.000
Mg 0.579 0.579 0.157
In 0.811 0.811 0.623

! Pm8Si3GeCl4 PBE relaxed; values from VASP
! space group = R-3m, No. 166
! VASP energy = -85.479 eV/cell
! ΔE_f (raw) = -1200 meV per atom
&SYSTEM
  ibrav = 0, nat = 16, ntyp = 4
/
ATOMIC_SPECIES
Pm 145.00 Pm.upf
Cl 35.45 Cl.upf
Ge 72.64 Ge.upf
Si 28.09 Si.upf
CELL_PARAMETERS angstrom
-5.204 3.097 5.898
4.561 -3.770 6.003
3.727 5.217 -5.509
ATOMIC_POSITIONS crystal
Pm 0.739 0.725 0.982
Cl 0.000 0.000 0.000
Pm 0.742 0.725 0.483
Ge 0.000 0.500 0.000
Si 0.500 0.500 0.500
Pm 0.243 0.725 0.486
Cl 0.500 0.000 0.500
Si 0.000 0.500 0.500
Pm 0.243 0.725 0.982
Pm 0.757 0.275 0.018
Cl 0.500 0.000 0.000
Cl 0.000 0.000 0.500
Si 0.500 0.500 0.000
Pm 0.258 0.275 0.517
Pm 0.261 0.275 0.018
Pm 0.757 0.275 0.514

! Hf2MnMo2 PBE relaxed; values from VASP
! space group = P4/mbm, No. 127
! VASP energy = -99.675 eV/cell
&SYSTEM
  ibrav = 0, nat = 10, ntyp = 3
/
ATOMIC_SPECIES
Hf 178.49 Hf.upf
Mo 95.94 Mo.upf
Mn 54.94 Mn.upf
CELL_PARAMETERS angstrom
6.333 0.000 0.000
0.000 6.333 0.000
0.000 0.000 4.481
ATOMIC_POSITIONS crystal
Hf 0.672 0.828 0.500
Hf 0.172 0.672 0.500
Mo 0.352 0.852 0.000
Mn 0.500 0.500 0.000
Hf 0.328 0.172 0.500
Mo 0.648 0.148 0.000
Mo 0.148 0.352 0.000
Hf 0.828 0.328 0.500
Mn 0.000 0.000 0.000
Mo 0.852 0.648 0.000